A plane-wave DFT calculation with PBE was carried out for an optimized crystal structure of SrGa3Rh. Values from VASP.

## Properties
* total magnetic moment: 0.000 μB per cell
* electronic total energy: -41.31 eV for the cell shown
* ρ: 6.48 g/cm3
* E_form: -508 meV/atom

Cell and atoms, written as Quantum ESPRESSO input:
```
&SYSTEM
  ibrav = 0, nat = 10, ntyp = 3
/
ATOMIC_SPECIES
Sr 87.62 Sr.upf
Ga 69.72 Ga.upf
Rh 102.91 Rh.upf
ATOMIC_POSITIONS crystal
Sr 0.250 0.333 0.667
Sr 0.750 0.667 0.333
Ga 0.750 0.623 0.811
Ga 0.750 0.188 0.811
Ga 0.250 0.812 0.623
Ga 0.750 0.188 0.377
Ga 0.250 0.812 0.189
Ga 0.250 0.377 0.189
Rh 0.000 0.000 0.000
Rh 0.500 0.000 0.000
CELL_PARAMETERS angstrom
5.702 0.000 0.583
0.000 6.424 0.000
-0.565 -3.212 5.534
```

---

A plane-wave DFT calculation with PBE was carried out for an optimized crystal structure of TaAu. Values from VASP.

## Properties
* total magnetic moment: 0.002 μB per cell
* electronic total energy: -12.52 eV for the cell shown
* ρ: 11.89 g/cm3
* E_form: 1305 meV/atom

Cell and atoms, written as Quantum ESPRESSO input:
```
&SYSTEM
  ibrav = 0, nat = 2, ntyp = 2
/
ATOMIC_SPECIES
Au 196.97 Au.upf
Ta 180.95 Ta.upf
ATOMIC_POSITIONS crystal
Au 0.000 0.000 0.000
Ta 0.250 0.250 0.250
CELL_PARAMETERS angstrom
4.210 0.000 0.000
2.105 3.646 0.000
2.105 1.215 3.437
```

---

A plane-wave DFT calculation with PBE was carried out for an optimized crystal structure of ReIr3Au. Values from VASP.

## Properties
* total magnetic moment: 0.000 μB per cell
* electronic total energy: -33.77 eV for the cell shown
* ρ: 15.11 g/cm3
* E_form: 1708 meV/atom

Cell and atoms, written as Quantum ESPRESSO input:
```
&SYSTEM
  ibrav = 0, nat = 5, ntyp = 3
/
ATOMIC_SPECIES
Re 186.21 Re.upf
Ir 192.22 Ir.upf
Au 196.97 Au.upf
ATOMIC_POSITIONS crystal
Re 0.000 0.000 0.000
Ir 0.000 0.500 0.000
Ir 0.000 0.000 0.500
Ir 0.500 0.000 0.000
Au 0.500 0.500 0.500
CELL_PARAMETERS angstrom
4.725 0.000 0.000
0.000 4.725 0.000
0.000 0.000 4.725
```

---

A plane-wave DFT calculation with PBE was carried out for an optimized crystal structure of Mn2FePt5. Values from VASP.

## Properties
* total magnetic moment: 25.464 μB per cell
* electronic total energy: -119.23 eV for the cell shown
* ρ: 15.83 g/cm3
* E_form: -326 meV/atom

Cell and atoms, written as Quantum ESPRESSO input:
```
&SYSTEM
  ibrav = 0, nat = 16, ntyp = 3
/
ATOMIC_SPECIES
Mn 54.94 Mn.upf
Fe 55.84 Fe.upf
Pt 195.08 Pt.upf
ATOMIC_POSITIONS crystal
Mn 0.500 0.285 0.366
Mn 0.500 0.715 0.634
Mn 0.500 0.215 0.866
Mn 0.500 0.785 0.134
Fe 0.000 0.000 0.500
Fe 0.000 0.500 0.000
Pt 0.500 0.280 0.114
Pt 0.500 0.720 0.886
Pt 0.500 0.780 0.386
Pt 0.500 0.220 0.614
Pt 0.000 0.966 0.743
Pt 0.000 0.034 0.257
Pt 0.000 0.466 0.757
Pt 0.000 0.534 0.243
Pt 0.000 0.500 0.500
Pt 0.000 0.000 0.000
CELL_PARAMETERS angstrom
3.956 0.000 0.000
0.000 5.516 0.000
0.000 0.000 10.971
```